Entry 1
The following is a DFT calculation (GGA-PBE) of a geometry-optimized VFeI2 structure.

a = 7.089 Å, b = 7.089 Å, c = 7.089 Å
α = 90.00°, β = 90.00°, γ = 90.00°
Positions (direct):
V1 0.000 0.000 0.000
V2 0.000 0.500 0.500
V3 0.500 0.000 0.500
V4 0.500 0.500 0.000
Fe1 0.000 0.000 0.500
Fe2 0.000 0.500 0.000
Fe3 0.500 0.000 0.000
Fe4 0.500 0.500 0.500
I1 0.250 0.250 0.250
I2 0.250 0.250 0.750
I3 0.250 0.750 0.250
I4 0.250 0.750 0.750
I5 0.750 0.250 0.250
I6 0.750 0.250 0.750
I7 0.750 0.750 0.250
I8 0.750 0.750 0.750

Values from the calculation:
As for the total magnetization: 6.4 μB per formula unit.


Entry 2
The following is a DFT calculation (GGA-PBE) of a geometry-optimized VFeI2 structure.

a = 6.238 Å, b = 6.238 Å, c = 12.156 Å
α = 90.00°, β = 90.00°, γ = 90.00°
Positions (direct):
V1 0.000 0.000 0.000
V2 0.000 0.500 0.250
V3 0.500 0.000 0.750
V4 0.500 0.500 0.500
Fe1 0.000 0.000 0.500
Fe2 0.000 0.500 0.750
Fe3 0.500 0.000 0.250
Fe4 0.500 0.500 0.000
I1 0.230 0.250 0.625
I2 0.250 0.730 0.875
I3 0.250 0.770 0.375
I4 0.270 0.250 0.125
I5 0.730 0.750 0.125
I6 0.750 0.230 0.375
I7 0.750 0.270 0.875
I8 0.770 0.750 0.625

Values from the calculation:
As for the total magnetization: 6.3 μB per formula unit.


What should be chosen as the most stable of them? Choose entry 2.


Entry 1
The following is a DFT calculation (GGA-PBE) of a geometry-optimized FeWI3 structure.

a = 5.485 Å, b = 5.485 Å, c = 5.485 Å
α = 90.00°, β = 90.00°, γ = 90.00°
Positions (direct):
Fe1 0.000 0.000 0.000
W1 0.500 0.500 0.500
I1 0.000 0.500 0.500
I2 0.500 0.000 0.500
I3 0.500 0.500 0.000

Values from the calculation:
As for the total magnetization: 4.2 μB per formula unit.


Entry 2
The following is a DFT calculation (GGA-PBE) of a geometry-optimized FeWI3 structure.

a = 5.016 Å, b = 5.016 Å, c = 5.016 Å
α = 90.00°, β = 90.00°, γ = 90.00°
Positions (direct):
Fe1 0.000 0.000 0.000
W1 0.500 0.500 0.500
I1 0.000 0.000 0.500
I2 0.000 0.500 0.000
I3 0.500 0.000 0.000

Values from the calculation:
As for the total magnetization: 0.0 μB per formula unit.


What should be chosen as the most stable of them? Choose entry 1.


Entry 1
The following is a DFT calculation (GGA-PBE) of a geometry-optimized FeW2I structure.

a = 5.438 Å, b = 5.438 Å, c = 12.347 Å
α = 90.00°, β = 90.00°, γ = 90.00°
Positions (direct):
Fe1 0.000 0.000 0.000
Fe2 0.000 0.500 0.250
Fe3 0.500 0.000 0.750
Fe4 0.500 0.500 0.500
W1 0.171 0.250 0.125
W2 0.250 0.671 0.375
W3 0.250 0.829 0.875
W4 0.329 0.250 0.625
W5 0.671 0.750 0.625
W6 0.750 0.171 0.875
W7 0.750 0.329 0.375
W8 0.829 0.750 0.125
I1 0.000 0.000 0.500
I2 0.000 0.500 0.750
I3 0.500 0.000 0.250
I4 0.500 0.500 0.000

Values from the calculation:
As for the total magnetization: 0.0 μB per formula unit.


Entry 2
The following is a DFT calculation (GGA-PBE) of a geometry-optimized FeW2I structure.

a = 6.346 Å, b = 6.346 Å, c = 6.346 Å
α = 90.00°, β = 90.00°, γ = 90.00°
Positions (direct):
Fe1 0.000 0.000 0.000
Fe2 0.000 0.500 0.500
Fe3 0.500 0.000 0.500
Fe4 0.500 0.500 0.000
W1 0.250 0.250 0.250
W2 0.250 0.250 0.750
W3 0.250 0.750 0.250
W4 0.250 0.750 0.750
W5 0.750 0.250 0.250
W6 0.750 0.250 0.750
W7 0.750 0.750 0.250
W8 0.750 0.750 0.750
I1 0.000 0.000 0.500
I2 0.000 0.500 0.000
I3 0.500 0.000 0.000
I4 0.500 0.500 0.500

Values from the calculation:
As for the total magnetization: 0.0 μB per formula unit.


What should be chosen as the most stable of them? Choose entry 2.


Entry 1
The following is a DFT calculation (GGA-PBE) of a geometry-optimized YFeI3 structure.

a = 5.199 Å, b = 5.199 Å, c = 5.199 Å
α = 90.00°, β = 90.00°, γ = 90.00°
Positions (direct):
Y1 0.000 0.000 0.000
Fe1 0.500 0.500 0.500
I1 0.000 0.500 0.500
I2 0.500 0.000 0.500
I3 0.500 0.500 0.000

Values from the calculation:
As for the total magnetization: 0.0 μB per formula unit.


Entry 2
The following is a DFT calculation (GGA-PBE) of a geometry-optimized YFeI3 structure.

a = 6.019 Å, b = 6.019 Å, c = 6.019 Å
α = 90.00°, β = 90.00°, γ = 90.00°
Positions (direct):
Y1 0.000 0.000 0.000
Fe1 0.500 0.500 0.500
I1 0.000 0.000 0.500
I2 0.000 0.500 0.000
I3 0.500 0.000 0.000

Values from the calculation:
As for the total magnetization: 4.1 μB per formula unit.


What should be chosen as the most stable of them? Choose entry 2.


Entry 1
The following is a DFT calculation (GGA-PBE) of a geometry-optimized ZnFe2I structure.

a = 6.327 Å, b = 6.327 Å, c = 6.327 Å
α = 90.00°, β = 90.00°, γ = 90.00°
Positions (direct):
Zn1 0.000 0.000 0.000
Zn2 0.000 0.500 0.500
Zn3 0.500 0.000 0.500
Zn4 0.500 0.500 0.000
Fe1 0.250 0.250 0.250
Fe2 0.250 0.250 0.750
Fe3 0.250 0.750 0.250
Fe4 0.250 0.750 0.750
Fe5 0.750 0.250 0.250
Fe6 0.750 0.250 0.750
Fe7 0.750 0.750 0.250
Fe8 0.750 0.750 0.750
I1 0.000 0.000 0.500
I2 0.000 0.500 0.000
I3 0.500 0.000 0.000
I4 0.500 0.500 0.500

Values from the calculation:
As for the total magnetization: 4.5 μB per formula unit.


Entry 2
The following is a DFT calculation (GGA-PBE) of a geometry-optimized ZnFe2I structure.

a = 4.123 Å, b = 4.123 Å, c = 17.718 Å
α = 90.00°, β = 90.00°, γ = 90.00°
Positions (direct):
Zn1 0.000 0.000 0.000
Zn2 0.000 0.500 0.250
Zn3 0.500 0.000 0.750
Zn4 0.500 0.500 0.500
Fe1 0.179 0.250 0.125
Fe2 0.250 0.679 0.375
Fe3 0.250 0.821 0.875
Fe4 0.321 0.250 0.625
Fe5 0.679 0.750 0.625
Fe6 0.750 0.179 0.875
Fe7 0.750 0.321 0.375
Fe8 0.821 0.750 0.125
I1 0.000 0.000 0.500
I2 0.000 0.500 0.750
I3 0.500 0.000 0.250
I4 0.500 0.500 0.000

Values from the calculation:
As for the total magnetization: 5.3 μB per formula unit.


What should be chosen as the most stable of them? Choose entry 2.


Entry 1
The following is a DFT calculation (GGA-PBE) of a geometry-optimized ZnFe3I structure.

a = 4.562 Å, b = 4.562 Å, c = 4.562 Å
α = 90.00°, β = 90.00°, γ = 90.00°
Positions (direct):
Zn1 0.000 0.000 0.000
Fe1 0.000 0.000 0.500
Fe2 0.000 0.500 0.000
Fe3 0.500 0.000 0.000
I1 0.500 0.500 0.500

Values from the calculation:
As for the total magnetization: 8.1 μB per formula unit.


Entry 2
The following is a DFT calculation (GGA-PBE) of a geometry-optimized ZnFe3I structure.

a = 4.684 Å, b = 4.684 Å, c = 4.684 Å
α = 90.00°, β = 90.00°, γ = 90.00°
Positions (direct):
Zn1 0.000 0.000 0.000
Fe1 0.000 0.500 0.500
Fe2 0.500 0.000 0.500
Fe3 0.500 0.500 0.000
I1 0.500 0.500 0.500

Values from the calculation:
As for the total magnetization: 6.7 μB per formula unit.


What should be chosen as the most stable of them? Choose entry 1.


Entry 1
The following is a DFT calculation (GGA-PBE) of a geometry-optimized Zn2FeI structure.

a = 6.929 Å, b = 6.929 Å, c = 6.929 Å
α = 90.00°, β = 90.00°, γ = 90.00°
Positions (direct):
Zn1 0.250 0.250 0.250
Zn2 0.250 0.250 0.750
Zn3 0.250 0.750 0.250
Zn4 0.250 0.750 0.750
Zn5 0.750 0.250 0.250
Zn6 0.750 0.250 0.750
Zn7 0.750 0.750 0.250
Zn8 0.750 0.750 0.750
Fe1 0.000 0.000 0.000
Fe2 0.000 0.500 0.500
Fe3 0.500 0.000 0.500
Fe4 0.500 0.500 0.000
I1 0.000 0.000 0.500
I2 0.000 0.500 0.000
I3 0.500 0.000 0.000
I4 0.500 0.500 0.500

Values from the calculation:
As for the total magnetization: 3.1 μB per formula unit.


Entry 2
The following is a DFT calculation (GGA-PBE) of a geometry-optimized Zn2FeI structure.

a = 8.155 Å, b = 8.155 Å, c = 5.299 Å
α = 90.00°, β = 90.00°, γ = 90.00°
Positions (direct):
Zn1 0.187 0.750 0.125
Zn2 0.250 0.187 0.875
Zn3 0.250 0.313 0.375
Zn4 0.313 0.750 0.625
Zn5 0.687 0.250 0.625
Zn6 0.750 0.687 0.375
Zn7 0.750 0.813 0.875
Zn8 0.813 0.250 0.125
Fe1 0.000 0.000 0.000
Fe2 0.000 0.500 0.250
Fe3 0.500 0.000 0.750
Fe4 0.500 0.500 0.500
I1 0.000 0.000 0.500
I2 0.000 0.500 0.750
I3 0.500 0.000 0.250
I4 0.500 0.500 0.000

Values from the calculation:
As for the total magnetization: 3.0 μB per formula unit.


What should be chosen as the most stable of them? Choose entry 2.


Entry 1
The following is a DFT calculation (GGA-PBE) of a geometry-optimized ZnFeI2 structure.

a = 7.901 Å, b = 7.901 Å, c = 10.329 Å
α = 90.00°, β = 90.00°, γ = 90.00°
Positions (direct):
Zn1 0.000 0.000 0.000
Zn2 0.000 0.500 0.250
Zn3 0.500 0.000 0.750
Zn4 0.500 0.500 0.500
Fe1 0.000 0.000 0.500
Fe2 0.000 0.500 0.750
Fe3 0.500 0.000 0.250
Fe4 0.500 0.500 0.000
I1 0.148 0.250 0.625
I2 0.250 0.648 0.875
I3 0.250 0.852 0.375
I4 0.352 0.250 0.125
I5 0.648 0.750 0.125
I6 0.750 0.148 0.375
I7 0.750 0.352 0.875
I8 0.852 0.750 0.625

Values from the calculation:
As for the total magnetization: 4.0 μB per formula unit.


Entry 2
The following is a DFT calculation (GGA-PBE) of a geometry-optimized ZnFeI2 structure.

a = 7.097 Å, b = 7.097 Å, c = 7.097 Å
α = 90.00°, β = 90.00°, γ = 90.00°
Positions (direct):
Zn1 0.000 0.000 0.000
Zn2 0.000 0.500 0.500
Zn3 0.500 0.000 0.500
Zn4 0.500 0.500 0.000
Fe1 0.000 0.000 0.500
Fe2 0.000 0.500 0.000
Fe3 0.500 0.000 0.000
Fe4 0.500 0.500 0.500
I1 0.250 0.250 0.250
I2 0.250 0.250 0.750
I3 0.250 0.750 0.250
I4 0.250 0.750 0.750
I5 0.750 0.250 0.250
I6 0.750 0.250 0.750
I7 0.750 0.750 0.250
I8 0.750 0.750 0.750

Values from the calculation:
As for the total magnetization: 0.0 μB per formula unit.


What should be chosen as the most stable of them? Choose entry 1.